A plane-wave DFT calculation with PBE was carried out for a geometry-optimized PrSmHgSb structure.

## Properties
The value obtained for the uncorrected formation energy is -0.670 eV per atom. The density of states at the Fermi level is 0.816 states/eV per atom. The total magnetic moment is 0.00 μB/cell. The final energy comes out at -16.60 eV/cell. The space group is F-43m (216).

Cell: 5.4342 5.4342 5.4342 Å, 60.00 60.00 60.00°
Fractional coordinates of all 4 atoms:
Hg1 0.5000 0.5000 0.5000
Sm1 0.7500 0.7500 0.7500
Pr1 0.2500 0.2500 0.2500
Sb1 0.0000 0.0000 0.0000

=====

A plane-wave DFT calculation with PBE was carried out for a geometry-optimized TbPrHgSb structure.

## Properties
The value obtained for the uncorrected formation energy is -0.644 eV per atom. The density of states at the Fermi level is 0.874 states/eV per atom. The total magnetic moment is 0.00 μB/cell. The final energy comes out at -16.41 eV/cell. The space group is F-43m (216).

Cell: 5.3993 5.3993 5.3993 Å, 60.00 60.00 60.00°
Fractional coordinates of all 4 atoms:
Sb1 0.0000 0.0000 0.0000
Pr1 0.7500 0.7500 0.7500
Hg1 0.5000 0.5000 0.5000
Tb1 0.2500 0.2500 0.2500

=====

Q: Among the records above, which one has the lowest final energy?
A: PrSmHgSb